Model i:
The following is a GGA-PBE calculation of a geometry-optimized KCd2Pb structure, from the Alexandria database.

## Properties
size of the total moment = 0.000 μB/atom

Cell: 3.409 4.842 7.544 Å, 90.00 90.00 90.00°
Element x y z (fractional)
K1 0.000 0.000 0.000
Cd1 0.500 0.500 0.286
Cd2 0.500 0.500 0.714
Pb1 0.000 0.000 0.500

Model ii:
The following is a GGA-PBE calculation of a geometry-optimized KCd2Pb structure, from the Alexandria database.

## Properties
size of the total moment = 0.000 μB/atom

Cell: 5.177 12.134 7.790 Å, 90.00 90.00 90.00°
Element x y z (fractional)
K1 0.000 0.081 0.250
K2 0.000 0.919 0.750
K3 0.500 0.419 0.750
K4 0.500 0.581 0.250
Cd1 0.000 0.382 0.056
Cd2 0.000 0.382 0.444
Cd3 0.000 0.618 0.556
Cd4 0.000 0.618 0.944
Cd5 0.500 0.118 0.556
Cd6 0.500 0.118 0.944
Cd7 0.500 0.882 0.056
Cd8 0.500 0.882 0.444
Pb1 0.000 0.213 0.750
Pb2 0.000 0.787 0.250
Pb3 0.500 0.287 0.250
Pb4 0.500 0.713 0.750

According to the calculations, the structures order from most to least stable as model ii, model i.

Model i:
The following is a GGA-PBE calculation of a geometry-optimized BaReHg2 structure, from the Alexandria database.

## Properties
size of the total moment = 0.035 μB/atom

Cell: 15.453 3.102 4.778 Å, 90.00 107.76 90.00°
Element x y z (fractional)
Ba1 0.000 0.000 0.000
Ba2 0.500 0.500 0.000
Re1 0.308 0.000 0.813
Re2 0.808 0.500 0.813
Hg1 0.144 0.500 0.643
Hg2 0.312 0.500 0.316
Hg3 0.644 0.000 0.643
Hg4 0.812 0.000 0.316

Model ii:
The following is a GGA-PBE calculation of a geometry-optimized BaReHg2 structure, from the Alexandria database.

## Properties
size of the total moment = 0.507 μB/atom

Cell: 4.737 4.737 4.610 Å, 90.00 90.00 90.00°
Element x y z (fractional)
Ba1 0.000 0.000 0.000
Re1 0.500 0.500 0.000
Hg1 0.000 0.500 0.500
Hg2 0.500 0.000 0.500

According to the calculations, the structures order from most to least stable as model i, model ii.

Model i:
The following is a GGA-PBE calculation of a geometry-optimized YHfAu structure, from the Alexandria database.

## Properties
size of the total moment = 0.000 μB/atom

Cell: 3.464 5.062 8.174 Å, 90.00 102.17 90.00°
Element x y z (fractional)
Y1 0.083 0.250 0.164
Y2 0.917 0.750 0.836
Hf1 0.232 0.750 0.464
Hf2 0.768 0.250 0.536
Au1 0.406 0.250 0.814
Au2 0.594 0.750 0.186

Model ii:
The following is a GGA-PBE calculation of a geometry-optimized YHfAu structure, from the Alexandria database.

## Properties
size of the total moment = 0.223 μB/atom

Cell: 4.639 4.639 11.673 Å, 90.00 90.00 120.00°
Element x y z (fractional)
Y1 0.000 0.000 0.250
Y2 0.000 0.000 0.750
Hf1 0.000 0.000 0.000
Hf2 0.000 0.000 0.500
Au1 0.333 0.667 0.250
Au2 0.667 0.333 0.750

According to the calculations, the structures order from most to least stable as model i, model ii.

Model i:
The following is a GGA-PBE calculation of a geometry-optimized BC3 structure, from the Alexandria database.

## Properties
size of the total moment = 0.000 μB/atom

Cell: 3.812 2.511 7.772 Å, 90.00 90.05 90.00°
Element x y z (fractional)
B1 0.000 0.000 0.000
B2 0.008 0.000 0.333
B3 0.507 0.500 0.830
C1 0.221 0.000 0.823
C2 0.257 0.000 0.503
C3 0.259 0.000 0.168
C4 0.492 0.500 0.167
C5 0.495 0.500 0.500
C6 0.714 0.500 0.334
C7 0.721 0.500 0.006
C8 0.757 0.500 0.657
C9 0.993 0.000 0.661

Model ii:
The following is a GGA-PBE calculation of a geometry-optimized BC3 structure, from the Alexandria database.

## Properties
size of the total moment = 0.000 μB/atom

Cell: 2.500 2.528 11.770 Å, 90.00 90.00 90.00°
Element x y z (fractional)
B1 0.000 0.000 0.000
B2 0.000 0.000 0.369
B3 0.500 0.000 0.114
C1 0.000 0.000 0.685
C2 0.000 0.500 0.276
C3 0.000 0.500 0.610
C4 0.000 0.500 0.913
C5 0.500 0.000 0.458
C6 0.500 0.000 0.761
C7 0.500 0.500 0.205
C8 0.500 0.500 0.532
C9 0.500 0.500 0.839

According to the calculations, the structures order from most to least stable as model ii, model i.